Entry 1:
Here is an optimized crystal structure of NaMnCuSe3 from Alexandria. Energies are from PBE.

```
NaMnCuSe3
1.0
-3.065 -1.888 -1.015
3.914 -3.055 -6.138
1.098 -5.487 6.890
Se Na Cu Mn
6 2 2 2
direct
0.750 0.253 0.549 Se
0.250 0.747 0.451 Se
0.250 0.116 0.879 Se
0.250 0.543 0.860 Se
0.750 0.457 0.140 Se
0.750 0.884 0.121 Se
0.750 0.784 0.736 Na
0.250 0.216 0.264 Na
0.250 0.076 0.598 Cu
0.750 0.924 0.402 Cu
0.250 0.682 0.156 Mn
0.750 0.318 0.844 Mn
```

The value obtained for the energy is -4.7242 eV per atom. Its uncorrected formation energy is -3.307 eV per formula unit. Its magnetic moment is 0.513 μB per atom. The space group is No. 11.


Entry 2:
Here is an optimized crystal structure of TeAuSe2O from Alexandria. Energies are from PBE.

```
TeAuSe2O
1.0
4.086 0.000 0.000
0.000 7.281 0.000
0.000 0.000 4.086
Se Au O Te
2 1 1 1
direct
0.000 0.000 0.500 Se
0.500 0.000 0.000 Se
0.500 0.500 0.500 Au
0.000 0.000 0.000 O
0.000 0.500 0.000 Te
```

The value obtained for the energy is -3.2243 eV per atom. Its uncorrected formation energy is 2.225 eV per formula unit. Its magnetic moment is 0.000 μB per atom. The space group is No. 123.


Entry 3:
Here is an optimized crystal structure of Ba2SrCdH from Alexandria. Energies are from PBE.

```
Ba2SrCdH
1.0
-4.241 -0.712 -3.665
1.549 -5.382 -0.747
-3.381 -1.558 4.215
Cd Ba H Sr
1 2 1 1
direct
0.000 0.000 0.500 Cd
0.500 0.000 0.000 Ba
0.000 0.500 0.000 Ba
0.000 0.000 0.000 H
0.500 0.500 0.500 Sr
```

The value obtained for the energy is -2.0552 eV per atom. The value obtained for the distance to the lowest polymorph of the same formula is 54.9 kJ/mol of formula units. Its magnetic moment is 0.000 μB per atom. The space group is No. 123.